Entry 1:
Material: PmZnRh2
Method: DFT, PBE-GGA
State: relaxed

Output
Formation energy   -2.10 eV/f.u.
Size of the total moment   0.00 μB/f.u.

The structure in CIF format:
```
data_PmZnRh2
_cell_length_a 6.561
_cell_length_b 6.561
_cell_length_c 6.561
_cell_angle_alpha 90.00
_cell_angle_beta 90.00
_cell_angle_gamma 90.00
_symmetry_space_group_name_H-M 'F m -3 m'
_symmetry_Int_Tables_number 225
_symmetry_space_group_name_Hall '-F 4 2 3'
loop_
_atom_site_label
_atom_site_fract_x
_atom_site_fract_y
_atom_site_fract_z
Pm1 0.000 0.000 0.000
Zn1 0.000 0.000 0.500
Rh1 0.250 0.250 0.250
```


Entry 2:
Material: Pm2Zn3Rh
Method: DFT, PBE-GGA
State: relaxed

Output
Formation energy   -2.95 eV/f.u.
ΔE to the lowest computed polymorph   0.00 kJ per mole of atoms
Size of the total moment   0.00 μB/f.u.

The structure in CIF format:
```
data_Pm2Zn3Rh
_cell_length_a 10.267
_cell_length_b 4.401
_cell_length_c 7.099
_cell_angle_alpha 90.00
_cell_angle_beta 129.50
_cell_angle_gamma 90.00
_symmetry_space_group_name_H-M 'C 1 m 1'
_symmetry_Int_Tables_number 8
_symmetry_space_group_name_Hall 'C -2y'
loop_
_atom_site_label
_atom_site_fract_x
_atom_site_fract_y
_atom_site_fract_z
Pm1 0.000 0.000 0.000
Pm2 0.103 0.000 0.607
Zn1 0.217 0.500 0.026
Zn2 0.222 0.500 0.416
Zn3 0.381 0.000 0.218
Rh1 0.399 0.000 0.630
```


Entry 3:
Material: PmZnRh
Method: DFT, PBE-GGA
State: relaxed

Output
Formation energy   -1.73 eV/f.u.
ΔE to the lowest computed polymorph   9.12 kJ per mole of atoms
Size of the total moment   0.00 μB/f.u.

The structure in CIF format:
```
data_PmZnRh
_cell_length_a 4.3702
_cell_length_b 4.3702
_cell_length_c 3.7925
_cell_angle_alpha 90.00
_cell_angle_beta 90.00
_cell_angle_gamma 120.00
_symmetry_space_group_name_H-M 'P -6 m 2'
_symmetry_Int_Tables_number 187
_symmetry_space_group_name_Hall 'P -6 2'
loop_
_atom_site_label
_atom_site_fract_x
_atom_site_fract_y
_atom_site_fract_z
Pm1 0.0000 0.0000 0.0000
Zn1 0.3333 0.6667 0.5000
Rh1 0.6667 0.3333 0.5000
```


Entry 4:
Material: PmZn3Rh4
Method: DFT, PBE-GGA
State: relaxed

Output
Formation energy   -3.60 eV/f.u.
Size of the total moment   0.00 μB/f.u.

The structure in CIF format:
```
data_PmZn3Rh4
_cell_length_a 4.413
_cell_length_b 4.413
_cell_length_c 6.440
_cell_angle_alpha 90.00
_cell_angle_beta 90.00
_cell_angle_gamma 90.00
_symmetry_space_group_name_H-M 'P 4/m m m'
_symmetry_Int_Tables_number 123
_symmetry_space_group_name_Hall '-P 4 2'
loop_
_atom_site_label
_atom_site_fract_x
_atom_site_fract_y
_atom_site_fract_z
Pm1 0.000 0.000 0.000
Zn1 0.000 0.000 0.500
Zn2 0.500 0.500 0.000
Zn3 0.500 0.500 0.500
Rh1 0.000 0.500 0.276
```